[1]
Here is a geometry-optimized Tl2RhF structure from the Alexandria database. Energies are from PBE-GGA.

a b c (Å): 4.756 4.756 4.756
angles (deg): 60.00 60.00 60.00
Fractional positions:
Tl 0.250 0.250 0.250
Tl 0.750 0.750 0.750
Rh 0.500 0.500 0.500
F 0.000 0.000 0.000

Summary:
The calculation puts the density of states at the Fermi level at 2.92 states/eV per cell. The energy above the lowest structure with this stoichiometry comes out at 72 meV/atom.

[2]
Here is a geometry-optimized TmMgCu2Ge2 structure from the Alexandria database. Energies are from PBE-GGA.

a b c (Å): 4.201 4.201 6.741
angles (deg): 90.00 90.00 120.00
Fractional positions:
Cu 0.333 0.667 0.795
Cu 0.667 0.333 0.205
Ge 0.667 0.333 0.751
Ge 0.333 0.667 0.249
Tm 0.000 0.000 0.500
Mg 0.000 0.000 0.000

Summary:
The calculation puts the density of states at the Fermi level at 1.58 states/eV per cell. The formation energy comes out at -0.451 eV/atom.

Q: Which formula does entry 1 have?
A: Tl2RhF